This record from Alexandria describes a relaxed BaMnAg2F8 crystal. The functional is GGA+U.

Cell and atoms, written as POSCAR:
```
BaMnAg2F8
1.0
6.2994 0.0000 0.0000
-3.1497 5.4555 0.0000
0.0000 0.0000 7.1137
Ba Mn Ag F
1 1 2 8
Cartesian
0.0000 0.0000 0.0000 Ba
0.0000 0.0000 3.5569 Mn
0.0000 3.6370 1.6730 Ag
3.1497 1.8185 5.4407 Ag
0.0000 1.4865 2.3519 F
-1.8624 4.7122 2.3519 F
1.2873 0.7432 4.7618 F
0.0000 3.6370 6.6579 F
3.1497 1.8185 0.4558 F
1.8624 4.7122 2.3519 F
5.0121 0.7432 4.7618 F
3.1497 3.9690 4.7618 F
```

## Properties
- E (eV per atom) = -4.595
- ρ (kg/m³) = 3804